[1]
VASP calculation (PBE-GGA) on a relaxed structure of La4Nd4Dy3.

POSCAR file:
```
La4Nd4Dy3
1.0
5.828 0.000 0.000
-2.914 6.104 0.000
0.000 0.000 10.874
Dy Nd La
3 4 4
Cartesian
0.000 5.002 3.157 Dy
0.000 5.002 7.717 Dy
0.000 3.070 0.000 Dy
0.000 1.290 3.290 Nd
2.914 1.373 5.437 Nd
2.914 0.524 0.000 Nd
0.000 1.290 7.584 Nd
2.914 3.157 2.161 La
2.914 4.743 5.437 La
2.914 5.556 0.000 La
2.914 3.157 8.712 La
```

- Energy relative to the lowest polymorph listed for this composition: 17 meV per atom
- Symmetry: Amm2, No. 38
- E: -4.6485 eV/atom
- Calculated density: 6.96 g cm⁻³
- ΔH_f (0 K): 0.1322 eV/atom

***

[2]
VASP calculation (PBE-GGA) on a relaxed structure of La2Nd3Dy4.

POSCAR file:
```
La2Nd3Dy4
1.0
5.849 0.000 0.000
-2.925 8.015 -2.765
0.000 0.178 6.531
La Nd Dy
2 3 4
Cartesian
0.000 5.874 2.610 La
2.925 2.318 1.157 La
0.000 2.131 3.133 Nd
2.925 6.062 0.634 Nd
0.000 0.000 0.000 Nd
2.925 4.516 4.090 Dy
0.000 7.017 -0.782 Dy
2.925 1.176 4.549 Dy
0.000 3.677 -0.323 Dy
```

- Energy relative to the lowest polymorph listed for this composition: 38 meV per atom
- Symmetry: C2/m, No. 12
- E: -4.6307 eV/atom
- Calculated density: 7.31 g cm⁻³
- ΔH_f (0 K): 0.0989 eV/atom

***

[3]
VASP calculation (PBE-GGA) on a relaxed structure of La6Nd5Dy.

POSCAR file:
```
La6Nd5Dy
1.0
-4.443 1.994 -4.190
-4.356 -6.170 3.298
-2.658 4.326 6.492
La Nd Dy
6 5 1
Cartesian
-3.137 -1.706 0.861 La
-5.090 1.041 -0.716 La
-6.366 -0.892 6.316 La
-8.319 1.855 4.739 La
-2.573 1.783 1.923 La
-8.884 -1.634 3.677 La
-6.296 -3.435 1.732 Nd
-5.161 3.584 3.868 Nd
-3.792 -2.687 4.358 Nd
-5.728 0.074 2.800 Nd
-3.222 0.842 5.432 Nd
0.000 0.000 0.000 Dy
```

- Energy relative to the lowest polymorph listed for this composition: 0 meV per atom
- Symmetry: C2/m, No. 12
- E: -4.8242 eV/atom
- Calculated density: 6.66 g cm⁻³
- ΔH_f (0 K): 0.0097 eV/atom

***

[4]
VASP calculation (PBE-GGA) on a relaxed structure of La3NdDy6.

POSCAR file:
```
La3NdDy6
1.0
8.831 0.000 4.686
3.172 8.242 4.686
2.266 1.556 6.393
La Dy Nd
3 6 1
Cartesian
2.797 1.921 5.393 La
7.652 5.254 6.909 La
6.358 4.366 9.347 La
10.526 5.271 8.425 Dy
5.809 7.930 6.890 Dy
6.639 2.573 5.379 Dy
3.802 4.590 6.944 Dy
8.745 1.899 8.587 Dy
7.797 7.479 10.117 Dy
11.224 7.707 10.841 Nd
```

- Energy relative to the lowest polymorph listed for this composition: 137 meV per atom
- Symmetry: R3, No. 146
- E: -4.4311 eV/atom
- Calculated density: 7.58 g cm⁻³
- ΔH_f (0 K): 0.2851 eV/atom

***

[5]
VASP calculation (PBE-GGA) on a relaxed structure of La7NdDy4.

POSCAR file:
```
La7NdDy4
1.0
-5.131 1.953 -2.694
-6.034 3.276 6.927
-0.770 8.686 0.821
La Dy Nd
7 4 1
Cartesian
-6.286 9.896 5.263 La
-2.112 4.809 0.567 La
-9.823 9.106 4.487 La
-5.649 4.019 -0.209 La
-2.566 0.976 -1.347 La
-7.991 9.535 1.307 La
-3.944 4.381 3.747 La
-6.793 6.882 4.045 Dy
-5.142 7.033 1.009 Dy
-7.271 3.653 2.614 Dy
-4.665 10.262 2.440 Dy
0.000 0.000 0.000 Nd
```

- Energy relative to the lowest polymorph listed for this composition: 179 meV per atom
- Symmetry: C2/m, No. 12
- E: -4.6115 eV/atom
- Calculated density: 6.84 g cm⁻³
- ΔH_f (0 K): 0.1942 eV/atom

***

[6]
VASP calculation (PBE-GGA) on a relaxed structure of La12Nd6Dy.

POSCAR file:
```
La12Nd6Dy
1.0
8.795 0.691 0.828
-0.650 8.798 0.828
-0.650 -0.758 8.805
La Nd Dy
12 6 1
Cartesian
3.918 3.577 7.687 La
7.691 7.309 7.109 La
3.577 5.154 2.773 La
2.942 6.775 5.717 La
1.244 3.810 5.567 La
4.553 1.957 4.743 La
4.457 8.464 8.462 La
1.436 3.293 0.620 La
6.059 5.438 9.840 La
6.250 4.922 4.893 La
-0.196 1.423 3.351 La
3.038 0.268 1.999 La
1.547 6.016 8.805 Nd
7.266 2.679 7.492 Nd
5.948 2.716 1.656 Nd
1.783 0.505 6.486 Nd
5.712 8.227 3.975 Nd
0.229 6.053 2.968 Nd
0.000 0.000 0.000 Dy
```

- Energy relative to the lowest polymorph listed for this composition: 0 meV per atom
- Symmetry: R-3, No. 148
- E: -4.7541 eV/atom
- Calculated density: 6.43 g cm⁻³
- ΔH_f (0 K): 0.1058 eV/atom